Here is an optimized crystal structure of HgTe2Os from Alexandria via LeMat-Bulk. Energies are from PBE.

## Properties
ρ	10.2	g/cm3
formation energy from raw total energies	0.31	eV/atom

Lattice parameters (Å, degrees): 3.296 5.097 12.512 90.00 90.00 90.00
Space group Amm2 (No. 38)
One atom of each set of equivalent atoms:
Hg 0.000 0.000 0.000 [2 per cell]
Te 0.000 0.000 0.351 [2 per cell]
Te 0.500 0.000 0.636 [2 per cell]
Os 0.500 0.000 0.196 [2 per cell]



Here is an optimized crystal structure of HgTe2Os from Alexandria via LeMat-Bulk. Energies are from PBE.

## Properties
ρ	8.9	g/cm3
formation energy from raw total energies	0.17	eV/atom

Lattice parameters (Å, degrees): 4.1226 4.1226 24.6162 90.00 90.00 120.00
Space group R-3m (No. 166, hexagonal axes)
One atom of each set of equivalent atoms:
Hg 0.0000 0.0000 0.0000 [3 per cell]
Te 0.0000 0.0000 0.1166 [6 per cell]
Os 0.0000 0.0000 0.5000 [3 per cell]



Here is an optimized crystal structure of Hg2TeOs from Alexandria via LeMat-Bulk. Energies are from PBE.

## Properties
ρ	11.8	g/cm3
formation energy from raw total energies	0.38	eV/atom

Lattice parameters (Å, degrees): 3.5715 3.5715 27.4516 90.00 90.00 120.00
Space group R3m (No. 160, hexagonal axes)
One atom of each set of equivalent atoms:
Hg 0.0000 0.0000 0.0000 [3 per cell]
Hg 0.0000 0.0000 0.2410 [3 per cell]
Te 0.0000 0.0000 0.7791 [3 per cell]
Os 0.0000 0.0000 0.5014 [3 per cell]



Here is an optimized crystal structure of HgTe2Os from Alexandria via LeMat-Bulk. Energies are from PBE.

## Properties
ρ	10.4	g/cm3
formation energy from raw total energies	0.38	eV/atom

Lattice parameters (Å, degrees): 10.539 3.323 6.400 90.00 112.68 90.00
Space group Cm (No. 8)
One atom of each set of equivalent atoms:
Hg 0.000 0.000 0.000 [2 per cell]
Te 0.184 0.000 0.655 [2 per cell]
Te 0.368 0.000 0.325 [2 per cell]
Os 0.224 0.500 0.997 [2 per cell]



Here is an optimized crystal structure of HgTeOs2 from Alexandria via LeMat-Bulk. Energies are from PBE.

## Properties
ρ	16.1	g/cm3
excess energy over the best structure of this formula in the dataset	2.53	eV/f.u.
formation energy from raw total energies	1.15	eV/atom

Lattice parameters (Å, degrees): 3.054 5.174 9.277 90.00 90.00 90.00
Space group Immm (No. 71)
One atom of each set of equivalent atoms:
Hg 0.000 0.000 0.000 [2 per cell]
Te 0.000 0.000 0.500 [2 per cell]
Os 0.000 0.500 0.231 [4 per cell]



Here is an optimized crystal structure of HgTeOs2 from Alexandria via LeMat-Bulk. Energies are from PBE.

## Properties
ρ	16.8	g/cm3
excess energy over the best structure of this formula in the dataset	2.02	eV/f.u.
formation energy from raw total energies	1.03	eV/atom

Lattice parameters (Å, degrees): 6.541 6.541 6.541 90.00 90.00 90.00
Space group Fm-3m (No. 225)
One atom of each set of equivalent atoms:
Hg 0.000 0.000 0.000 [4 per cell]
Te 0.000 0.000 0.500 [4 per cell]
Os 0.250 0.250 0.250 [8 per cell]



Here is an optimized crystal structure of HgTeOs2 from Alexandria via LeMat-Bulk. Energies are from PBE.

## Properties
ρ	16.1	g/cm3
excess energy over the best structure of this formula in the dataset	2.87	eV/f.u.
formation energy from raw total energies	1.24	eV/atom

Lattice parameters (Å, degrees): 6.632 6.632 6.632 90.00 90.00 90.00
Space group F-43m (No. 216)
One atom of each set of equivalent atoms:
Hg 0.000 0.000 0.000 [4 per cell]
Te 0.250 0.250 0.250 [4 per cell]
Os 0.000 0.000 0.500 [4 per cell]
Os 0.250 0.250 0.750 [4 per cell]



Here is an optimized crystal structure of Hg2TeOs from Alexandria via LeMat-Bulk. Energies are from PBE.

## Properties
ρ	12.8	g/cm3
formation energy from raw total energies	0.60	eV/atom

Lattice parameters (Å, degrees): 3.115 5.484 10.923 90.00 90.00 90.00
Space group Cmm2 (No. 35)
One atom of each set of equivalent atoms:
Hg 0.000 0.000 0.000 [2 per cell]
Hg 0.000 0.500 0.266 [2 per cell]
Te 0.000 0.000 0.591 [2 per cell]
Os 0.000 0.500 0.781 [2 per cell]



Here is an optimized crystal structure of Hg2TeOs from Alexandria via LeMat-Bulk. Energies are from PBE.

## Properties
ρ	12.8	g/cm3
formation energy from raw total energies	0.67	eV/atom

Lattice parameters (Å, degrees): 3.128 4.409 13.521 90.00 90.00 90.00
Space group Immm (No. 71)
One atom of each set of equivalent atoms:
Hg 0.000 0.000 0.190 [4 per cell]
Te 0.000 0.500 0.000 [2 per cell]
Os 0.000 0.500 0.500 [2 per cell]



Here is an optimized crystal structure of HgTeOs2 from Alexandria via LeMat-Bulk. Energies are from PBE.

## Properties
ρ	16.7	g/cm3
excess energy over the best structure of this formula in the dataset	1.81	eV/f.u.
formation energy from raw total energies	0.97	eV/atom

Lattice parameters (Å, degrees): 3.214 3.214 6.831 90.00 90.00 90.00
Space group P4/mmm (No. 123)
One atom of each set of equivalent atoms:
Hg 0.000 0.000 0.000 [1 per cell]
Te 0.000 0.000 0.500 [1 per cell]
Os 0.500 0.500 0.274 [2 per cell]



Here is an optimized crystal structure of Th8HgTe4Os3 from Alexandria via LeMat-Bulk. Energies are from PBE.

## Properties
ρ	10.8	g/cm3
formation energy from raw total energies	-0.77	eV/atom

Lattice parameters (Å, degrees): 8.5189 8.5189 23.0513 90.00 90.00 120.00
Space group R-3m (No. 166, hexagonal axes)
One atom of each set of equivalent atoms:
Th 0.0000 0.0000 0.2344 [6 per cell]
Th 0.0219 0.5109 0.7649 [18 per cell]
Hg 0.0000 0.0000 0.5000 [3 per cell]
Te 0.0000 0.0000 0.0000 [3 per cell]
Te 0.0000 0.5000 0.0000 [9 per cell]
Os 0.0000 0.5000 0.5000 [9 per cell]



Here is an optimized crystal structure of ZnHg2TeOs from Alexandria via LeMat-Bulk. Energies are from PBE.

## Properties
ρ	7.8	g/cm3
excess energy over the best structure of this formula in the dataset	5.57	eV/f.u.
formation energy from raw total energies	1.66	eV/atom

Lattice parameters (Å, degrees): 5.701 5.701 5.137 90.00 90.00 90.00
Space group P4/mmm (No. 123)
One atom of each set of equivalent atoms:
Zn 0.000 0.000 0.000 [1 per cell]
Hg 0.000 0.500 0.500 [2 per cell]
Te 0.000 0.000 0.500 [1 per cell]
Os 0.500 0.500 0.000 [1 per cell]